KSrSi2 | SCAN | PBEsol geometry

Unit cell a=5.318 b=5.318 c=5.318 alpha=60.00 beta=60.00 gamma=60.00
Atoms (fractional coordinates):
Si 0.750 0.750 0.750
Si 0.250 0.250 0.250
Sr 0.500 0.500 0.500
K 0.000 0.000 0.000

## Properties
M_tot	0.00	μB per formula unit
volume	106.4	Å³/cell
Fermi-level density of states	0.538	states/eV/atom
electronic total energy	-49.34	eV for the cell shown
ΔE_f (raw)	0.325	eV/atom

---

CdW3O | SCAN | PBEsol geometry

Unit cell a=4.144 b=4.144 c=4.144 alpha=90.00 beta=90.00 gamma=90.00
Atoms (fractional coordinates):
W 0.000 0.000 0.500
W 0.000 0.500 0.000
W 0.500 0.000 0.000
O 0.000 0.000 0.000
Cd 0.500 0.500 0.500

## Properties
M_tot	0.00	μB per formula unit
volume	71.2	Å³/cell
Fermi-level density of states	0.596	states/eV/atom
electronic total energy	-243.84	eV for the cell shown
ΔE_f (raw)	0.374	eV/atom

---

Number 1 is which compound? KSrSi2